An optimized crystal structure of BC2, computed with PBE.

Lattice parameters (Å, degrees): 4.5969 2.6420 6.4842 90.00 91.22 90.00
Positions (direct):
B: 0.0077 0.0000 0.1764
B: 0.2264 0.5000 0.4473
B: 0.7736 0.5000 0.5527
B: 0.9923 0.0000 0.8236
C: 0.1849 0.5000 0.2017
C: 0.3271 0.0000 0.5584
C: 0.3395 0.0000 0.7947
C: 0.4965 0.5000 0.8791
C: 0.5035 0.5000 0.1209
C: 0.6605 0.0000 0.2053
C: 0.6729 0.0000 0.4416
C: 0.8151 0.5000 0.7983

As for the space group: No. 10. The energy above the most stable polymorph in this dataset comes out at 0.21 eV per formula unit. As for the formation energy: 90 kJ/mol of formula units.


An optimized crystal structure of NaAg2BPt, computed with PBE.

Lattice parameters (Å, degrees): 4.5272 4.5272 4.1385 90.00 90.00 90.00
Positions (direct):
Na: 0.0000 0.0000 0.0000
Ag: 0.0000 0.5000 0.5000
Ag: 0.5000 0.0000 0.5000
B: 0.5000 0.5000 0.5000
Pt: 0.5000 0.5000 0.0000

As for the space group: No. 123. As for the formation energy: 9 kJ/mol of formula units.


An optimized crystal structure of Th8Ge4TeSe3, computed with PBE.

Lattice parameters (Å, degrees): 8.5803 8.5803 8.5803 60.42 60.42 60.42
Positions (direct):
Th: 0.2462 0.2462 0.2462
Th: 0.2534 0.7395 0.7395
Th: 0.2605 0.2605 0.7466
Th: 0.2605 0.7466 0.2605
Th: 0.7395 0.2534 0.7395
Th: 0.7395 0.7395 0.2534
Th: 0.7466 0.2605 0.2605
Th: 0.7538 0.7538 0.7538
Ge: 0.0000 0.0000 0.5000
Ge: 0.0000 0.5000 0.0000
Ge: 0.5000 0.0000 0.0000
Ge: 0.5000 0.5000 0.5000
Te: 0.0000 0.0000 0.0000
Se: 0.0000 0.5000 0.5000
Se: 0.5000 0.0000 0.5000
Se: 0.5000 0.5000 0.0000

For the formation energy (no corrections), the calculation gives -1.15 eV per atom. As for the space group: No. 166.


An optimized crystal structure of Na2LaRu2, computed with PBE.

Lattice parameters (Å, degrees): 8.6623 8.6623 2.7139 90.00 90.00 90.00
Positions (direct):
Na: 0.1082 0.3918 0.0000
Na: 0.3918 0.8918 0.0000
Na: 0.6082 0.1082 0.0000
Na: 0.8918 0.6082 0.0000
La: 0.0000 0.0000 0.0000
La: 0.5000 0.5000 0.0000
Ru: 0.1907 0.6907 0.5000
Ru: 0.3093 0.1907 0.5000
Ru: 0.6907 0.8093 0.5000
Ru: 0.8093 0.3093 0.5000

As for the space group: No. 127. The energy above the most stable polymorph in this dataset comes out at 0.00 eV per formula unit. As for the formation energy: 374 kJ/mol of formula units.


An optimized crystal structure of Na2SrThBr8, computed with PBE.

Lattice parameters (Å, degrees): 6.9393 9.1049 7.1792 90.00 93.49 90.00
Positions (direct):
Na: 0.0000 0.2348 0.0000
Na: 0.0000 0.7652 0.0000
Sr: 0.5000 0.0000 0.5000
Th: 0.5000 0.5000 0.5000
Br: 0.2275 0.0000 0.1671
Br: 0.2340 0.5000 0.1821
Br: 0.2808 0.2712 0.6619
Br: 0.2808 0.7288 0.6619
Br: 0.7192 0.2712 0.3381
Br: 0.7192 0.7288 0.3381
Br: 0.7660 0.5000 0.8179
Br: 0.7725 0.0000 0.8329

For the formation energy (no corrections), the calculation gives -1.75 eV per atom. As for the space group: No. 10.


An optimized crystal structure of Nb2Cr2Cd, computed with PBE.

Lattice parameters (Å, degrees): 7.2948 7.2948 3.0848 90.00 90.00 90.00
Positions (direct):
Nb: 0.1992 0.3008 0.0000
Nb: 0.3008 0.8008 0.0000
Nb: 0.6992 0.1992 0.0000
Nb: 0.8008 0.6992 0.0000
Cr: 0.0976 0.5976 0.5000
Cr: 0.4024 0.0976 0.5000
Cr: 0.5976 0.9024 0.5000
Cr: 0.9024 0.4024 0.5000
Cd: 0.0000 0.0000 0.5000
Cd: 0.5000 0.5000 0.5000

As for the space group: No. 127. As for the formation energy: 137 kJ/mol of formula units.


Computed uncorrected energy (eV per atom) in order:
-8.06 -3.93 -6.87 -4.45 -3.84 -7.78